Density functional theory data (meta-GGA SCAN) for a crystal of BaPb5 relaxed with PBEsol.

a = 6.5160 Å, b = 6.5160 Å, c = 6.5160 Å
α = 60.00°, β = 60.00°, γ = 60.00°
Last column: nearest neighbours and their distance in Å.
Positions (direct):
Pb: 0.1259 0.6247 0.6247  6 Pb 3.25-3.27
Pb: 0.6247 0.1259 0.6247  6 Pb 3.25-3.27
Pb: 0.6247 0.6247 0.1259  6 Pb 3.25-3.27
Pb: 0.6247 0.6247 0.6247  6 Pb 3.25-3.27
Pb: 0.2500 0.2500 0.2500  12 Pb 3.82, 4 Ba 3.99
Ba: 0.0000 0.0000 0.0000  16 Pb 3.82-3.99

Calculated values
energy	-420.17	eV for the cell shown
N(E_F)	2.23	states/eV/cell
formation energy from the elements	-0.286	eV/atom